Computed, not measured: Tl2NiP after structural relaxation at the PBE level of DFT.

Properties
Distance to the lowest polymorph of the same formula = 2.81 eV/f.u.

Cell: 3.907 5.296 8.034 Å, 90.00 90.00 90.00°
Space group Immm (No. 71)
Unique sites:
1 Tl 0.000 0.000 0.237 (multiplicity 4)
2 Ni 0.000 0.500 0.500 (multiplicity 2)
3 P 0.000 0.500 0.000 (multiplicity 2)

---

Computed, not measured: Tl2NiPW after structural relaxation at the PBE level of DFT.

Cell: 5.185 5.185 4.128 Å, 90.00 90.00 90.00°
Space group P4/mmm (No. 123)
Unique sites:
1 Tl 0.000 0.500 0.000 (multiplicity 2)
2 Ni 0.000 0.000 0.000 (multiplicity 1)
3 P 0.000 0.000 0.500 (multiplicity 1)
4 W 0.500 0.500 0.500 (multiplicity 1)

---

Computed, not measured: TmNi4P after structural relaxation at the PBE level of DFT.

Cell: 6.992 3.566 6.439 Å, 90.00 90.00 90.00°
Space group Pmma (No. 51)
Unique sites:
1 Tm 0.250 0.000 0.125 (multiplicity 2)
2 Ni 0.000 0.000 0.500 (multiplicity 2)
3 Ni 0.061 0.500 0.792 (multiplicity 4)
4 Ni 0.250 0.500 0.454 (multiplicity 2)
5 P 0.250 0.000 0.702 (multiplicity 2)

---

Computed, not measured: TmNi3P after structural relaxation at the PBE level of DFT.

Cell: 4.914 8.055 7.416 Å, 90.00 90.00 90.00°
Space group Imma (No. 74)
Unique sites:
1 Tm 0.000 0.250 0.034 (multiplicity 4)
2 Ni 0.000 0.250 0.643 (multiplicity 4)
3 Ni 0.250 0.006 0.750 (multiplicity 8)
4 P 0.000 0.000 0.500 (multiplicity 4)

---

no.,V (Å³ per atom),M_tot (μB per cell),energy of formation (kcal/mol of atoms)
1,20.78,0.001,12.82
2,22.20,2.900,27.29
3,13.38,0.000,-12.64
4,14.68,0.000,-14.29